(1)
# ScCd2Ag

ScCd2Ag after structural relaxation (GGA-PBEsol, Alexandria via LeMat-Bulk).

abc: 3.4173 3.4173 6.6978
angles: 90.00 90.00 90.00
Positions (direct):
Cd1 0.0000 0.0000 0.9878
Cd2 0.5000 0.5000 0.2508
Ag1 0.5000 0.5000 0.7467
Sc1 0.0000 0.0000 0.5146

Final energy, eV per cell: -13.1



(2)
# ScCd2Ag

ScCd2Ag after structural relaxation (GGA-PBEsol, Alexandria via LeMat-Bulk).

abc: 3.1806 5.0636 5.2527
angles: 100.15 90.00 108.30
Positions (direct):
Sc1 0.4965 0.9930 0.4854
Cd1 0.0029 0.0058 0.9978
Ag1 0.7496 0.4992 0.2591
Cd2 0.2510 0.5020 0.7578

Final energy, eV per cell: -12.9



(3)
# ScCdAg

ScCdAg after structural relaxation (GGA-PBEsol, Alexandria via LeMat-Bulk).

abc: 3.5560 3.5560 5.1905
angles: 110.03 110.03 90.00
Positions (direct):
Ag1 0.9979 0.9979 0.9958
Cd1 0.3375 0.3375 0.6750
Sc1 0.6646 0.6646 0.3292

Final energy, eV per cell: -11.9



(4)
# CdAgSe2

CdAgSe2 after structural relaxation (GGA-PBEsol, Alexandria via LeMat-Bulk).

abc: 3.8836 5.2217 5.2217
angles: 76.29 68.17 68.17
Positions (direct):
Se1 0.7408 0.2592 0.2592
Cd1 0.5000 0.0000 0.0000
Ag1 0.0000 0.5000 0.5000
Se2 0.2592 0.7408 0.7408

Energy relative to the elements, uncorrected, meV/atom: 22



(5)
# CdAgSe2

CdAgSe2 after structural relaxation (GGA-PBEsol, Alexandria via LeMat-Bulk).

abc: 3.7888 4.7202 4.7202
angles: 106.57 90.00 90.00
Positions (direct):
Se1 0.0000 0.0000 0.5000
Cd1 0.5000 0.5000 0.5000
Ag1 0.5000 0.0000 0.0000
Se2 0.0000 0.5000 0.0000

Energy relative to the elements, uncorrected, meV/atom: 33



(6)
# CdAgSe2

CdAgSe2 after structural relaxation (GGA-PBEsol, Alexandria via LeMat-Bulk).

abc: 3.9028 3.9028 5.5061
angles: 90.00 90.00 90.00
Positions (direct):
Ag1 0.5000 0.5000 0.0000
Se1 0.0000 0.0000 0.0000
Se2 0.5000 0.5000 0.5000
Cd1 0.0000 0.0000 0.5000

Energy relative to the elements, uncorrected, meV/atom: -235



(7)
# CdAg2Se

CdAg2Se after structural relaxation (GGA-PBEsol, Alexandria via LeMat-Bulk).

abc: 3.5915 3.5915 5.7402
angles: 90.00 90.00 90.00
Positions (direct):
Ag1 0.0000 0.0000 0.2475
Se1 0.5000 0.5000 0.5000
Cd1 0.5000 0.5000 0.0000
Ag2 0.0000 0.0000 0.7525

Energy relative to the elements, uncorrected, meV/atom: -25



(8)
# CdAg2Se

CdAg2Se after structural relaxation (GGA-PBEsol, Alexandria via LeMat-Bulk).

abc: 2.9797 2.9797 8.4453
angles: 90.00 90.00 90.16
Positions (direct):
Cd1 0.0000 0.0000 0.5209
Ag1 0.5000 0.5000 0.7574
Se1 0.5000 0.5000 0.2327
Ag2 0.0000 0.0000 0.9891

Energy relative to the elements, uncorrected, meV/atom: 67



(9)
# CdAg2Se

CdAg2Se after structural relaxation (GGA-PBEsol, Alexandria via LeMat-Bulk).

abc: 4.1093 4.1093 5.2496
angles: 113.04 113.04 90.00
Positions (direct):
Cd1 0.5000 0.5000 0.0000
Ag1 0.0000 0.0000 0.0000
Ag2 0.7500 0.2500 0.5000
Se1 0.2500 0.7500 0.5000

Energy relative to the elements, uncorrected, meV/atom: -4



(10)
# CdSi2Ag

CdSi2Ag after structural relaxation (GGA-PBEsol, Alexandria via LeMat-Bulk).

abc: 2.9572 2.9572 9.0655
angles: 80.61 80.61 60.00
Positions (direct):
Cd1 0.2498 0.2498 0.2507
Ag1 0.4926 0.4926 0.5222
Si1 0.0105 0.0105 0.9686
Si2 0.7472 0.7472 0.7585

Energy relative to the elements, uncorrected, meV/atom: 255



(11)
# CdSi2Ag

CdSi2Ag after structural relaxation (GGA-PBEsol, Alexandria via LeMat-Bulk).

abc: 4.6313 4.6313 4.6313
angles: 60.00 60.00 60.00
Positions (direct):
Si1 0.0000 0.0000 0.0000
Cd1 0.7500 0.7500 0.7500
Ag1 0.5000 0.5000 0.5000
Si2 0.2500 0.2500 0.2500

Energy relative to the elements, uncorrected, meV/atom: 436



(12)
# CdSi2Ag

CdSi2Ag after structural relaxation (GGA-PBEsol, Alexandria via LeMat-Bulk).

abc: 2.7412 5.0870 5.0870
angles: 90.00 90.00 90.00
Positions (direct):
Si1 0.0000 0.5000 0.0000
Si2 0.0000 0.0000 0.5000
Cd1 0.5000 0.0000 0.0000
Ag1 0.5000 0.5000 0.5000

Energy relative to the elements, uncorrected, meV/atom: 419



(13)
# Cd3SiAg

Cd3SiAg after structural relaxation (GGA-PBEsol, Alexandria via LeMat-Bulk).

abc: 4.9891 4.9891 4.9891
angles: 90.00 90.00 90.00
Positions (direct):
Cd1 0.5000 0.0000 0.0000
Si1 0.0000 0.0000 0.0000
Cd2 0.0000 0.5000 0.0000
Ag1 0.5000 0.5000 0.5000
Cd3 0.0000 0.0000 0.5000

Energy relative to the elements, uncorrected, meV/atom: 583



(14)
# SmCdAg2

SmCdAg2 after structural relaxation (GGA-PBEsol, Alexandria via LeMat-Bulk).

abc: 4.8984 4.8984 4.8984
angles: 60.00 60.00 60.00
Positions (direct):
Ag1 0.2500 0.2500 0.2500
Sm1 0.0000 0.0000 0.0000
Ag2 0.7500 0.7500 0.7500
Cd1 0.5000 0.5000 0.5000

Final energy, eV per cell: -14.1



(15)
# Cd2Ag2Sn

Cd2Ag2Sn after structural relaxation (GGA-PBEsol, Alexandria via LeMat-Bulk).

abc: 3.0938 8.3972 8.3972
angles: 90.00 90.00 90.00
Positions (direct):
Ag1 0.5000 0.6704 0.8296
Ag2 0.5000 0.1704 0.6704
Cd1 0.0000 0.1270 0.3730
Ag3 0.5000 0.3296 0.1704
Cd2 0.0000 0.8730 0.6270
Ag4 0.5000 0.8296 0.3296
Cd3 0.0000 0.6270 0.1270
Sn1 0.0000 0.0000 0.0000
Cd4 0.0000 0.3730 0.8730
Sn2 0.0000 0.5000 0.5000

Final energy, eV per cell: -26.3



(16)
# SrCd2Ag

SrCd2Ag after structural relaxation (GGA-PBEsol, Alexandria via LeMat-Bulk).

abc: 4.5110 4.5110 4.8776
angles: 90.00 90.00 90.00
Positions (direct):
Cd1 0.0000 0.5000 0.0000
Cd2 0.5000 0.0000 0.0000
Sr1 0.5000 0.5000 0.5000
Ag1 0.0000 0.0000 0.5000

Final energy, eV per cell: -8.0



(17)
# SrCd2Ag2

SrCd2Ag2 after structural relaxation (GGA-PBEsol, Alexandria via LeMat-Bulk).

abc: 4.9425 4.9425 6.1155
angles: 113.83 113.83 90.00
Positions (direct):
Sr1 0.0000 0.0000 0.0000
Ag1 0.2500 0.7500 0.5000
Ag2 0.7500 0.2500 0.5000
Cd1 0.3641 0.3641 0.7283
Cd2 0.6359 0.6359 0.2717

Final energy, eV per cell: -11.7



(18)
# SrCd2Ag

SrCd2Ag after structural relaxation (GGA-PBEsol, Alexandria via LeMat-Bulk).

abc: 4.7637 4.7637 5.9731
angles: 66.50 66.50 60.00
Positions (direct):
Ag1 0.5000 0.5000 0.5000
Sr1 0.0000 0.0000 0.0000
Cd1 0.2084 0.2084 0.3749
Cd2 0.7916 0.7916 0.6251

Final energy, eV per cell: -8.4



(19)
# SrCd2Ag

SrCd2Ag after structural relaxation (GGA-PBEsol, Alexandria via LeMat-Bulk).

abc: 4.8104 4.8104 5.8550
angles: 65.75 65.75 60.00
Positions (direct):
Sr1 0.5049 0.5049 0.4852
Cd1 0.9828 0.9828 0.0516
Ag1 0.3004 0.3004 0.0988
Cd2 0.7137 0.7137 0.8590

Final energy, eV per cell: -8.5



(20)
# Sr2CdAg2

Sr2CdAg2 after structural relaxation (GGA-PBEsol, Alexandria via LeMat-Bulk).

abc: 4.4176 7.9014 7.9014
angles: 90.00 90.00 90.00
Positions (direct):
Ag1 0.0000 0.3758 0.8758
Sr1 0.5000 0.6771 0.8229
Cd1 0.0000 0.5000 0.5000
Cd2 0.0000 0.0000 0.0000
Sr2 0.5000 0.3229 0.1771
Ag2 0.0000 0.1242 0.3758
Ag3 0.0000 0.6242 0.1242
Sr3 0.5000 0.8229 0.3229
Sr4 0.5000 0.1771 0.6771
Ag4 0.0000 0.8758 0.6242

Final energy, eV per cell: -25.6



| no. | Fermi-level density of states (states/eV per cell) |
| --- | --- |
| 1 | 1.653 |
| 2 | 1.914 |
| 3 | 1.712 |
| 4 | 2.305 |
| 5 | 1.427 |
| 6 | 1.796 |
| 7 | 0.735 |
| 8 | 1.095 |
| 9 | 0.749 |
| 10 | 1.365 |
| 11 | 1.618 |
| 12 | 1.726 |
| 13 | 2.587 |
| 14 | 3.445 |
| 15 | 3.439 |
| 16 | 1.969 |
| 17 | 2.371 |
| 18 | 2.168 |
| 19 | 1.982 |
| 20 | 5.420 |